Compound: FeReHg2
Source: Alexandria via LeMat-Bulk
Functional: PBE-GGA
Structure: optimized geometry

The structure belongs to space group F-43m (No. 216); the cell edges are 6.534, 6.534 and 6.534 Å and the angles 90.00°, 90.00° and 90.00°. Symmetry generates all atoms from Fe at (0.000, 0.000, 0.000), Re at (0.250, 0.250, 0.750), Hg at (0.000, 0.000, 0.500) and Hg at (0.250, 0.250, 0.250).

The energy of formation from the pure elements is 0.98 eV per atom. The calculation puts the offset from the most stable computed form at 578.0 meV/atom. The density of states at the Fermi level is 14.41 states/eV/cell.